VASP calculation (PBE) on ThNbGa after structural relaxation.

It has space group P4/nmm (No. 129, origin choice 2), with a = 4.089 Å, b = 4.089 Å, c = 8.235 Å, α = 90.00°, β = 90.00° and γ = 90.00°. The inequivalent atoms are Th at (0.250, 0.250, 0.144), Nb at (0.250, 0.750, 0.500) and Ga at (0.250, 0.250, 0.733).

The energy is -42.9 eV/cell. The value obtained for the offset from the most stable computed form is 0.00 kJ/mol of atoms.